Record 1
Here is an optimized crystal structure of B3OsPt from Alexandria via LeMat-Bulk. Energies are from GGA-PBE.

Lattice parameters (Å, degrees): 4.0301 4.0301 4.0301 90.00 90.00 90.00
Atoms (fractional coordinates):
B  0.0000  0.0000  0.5000
B  0.0000  0.5000  0.0000
B  0.5000  0.0000  0.0000
Os  0.5000  0.5000  0.5000
Pt  0.0000  0.0000  0.0000

The excess energy over the best structure of this formula in the dataset is 3.20 eV/f.u. The value obtained for the formation energy is 1819 meV per atom.

Record 2
Here is an optimized crystal structure of BOsPt3 from Alexandria via LeMat-Bulk. Energies are from GGA-PBE.

Lattice parameters (Å, degrees): 4.1732 4.1732 4.1732 90.00 90.00 90.00
Atoms (fractional coordinates):
B  0.0000  0.0000  0.0000
Os  0.5000  0.5000  0.5000
Pt  0.0000  0.0000  0.5000
Pt  0.0000  0.5000  0.0000
Pt  0.5000  0.0000  0.0000

The excess energy over the best structure of this formula in the dataset is 0.00 eV/f.u. The value obtained for the formation energy is 540 meV per atom.